Record 1
Ni5SbSe2 after structural relaxation. Source: Alexandria, functional PBE-GGA.

It has space group I4/mmm (No. 139), with a = 3.771 Å, b = 3.771 Å, c = 18.404 Å, α = 90.00°, β = 90.00° and γ = 90.00°. Symmetry generates all atoms from Ni at (0.000, 0.000, 0.000), Ni at (0.000, 0.500, 0.099), Sb at (0.000, 0.000, 0.500) and Se at (0.000, 0.000, 0.174).

The calculation puts the density at 7.3 g cm⁻³. For the total energy, the calculation gives -5.257 eV/atom.


Record 2
Ac3Pm12Th after structural relaxation. Source: Alexandria, functional PBE-GGA.

It has space group P4/mmm (No. 123), with a = 5.241 Å, b = 5.241 Å, c = 20.972 Å, α = 90.00°, β = 90.00° and γ = 90.00°. Symmetry generates all atoms from Ac at (0.000, 0.000, 0.000), Ac at (0.000, 0.000, 0.253), Pm at (0.000, 0.500, 0.127), Pm at (0.000, 0.500, 0.382), Pm at (0.500, 0.500, 0.000), Pm at (0.500, 0.500, 0.253), Pm at (0.500, 0.500, 0.500) and Th at (0.000, 0.000, 0.500).

For the energy of formation from the pure elements, the calculation gives 0.0331 eV per atom. The calculation puts the density at 7.6 g cm⁻³. For the total energy, the calculation gives -4.764 eV/atom.


Record 3
AlSnPb after structural relaxation. Source: Alexandria, functional PBE-GGA.

It has space group P4/nmm (No. 129, origin choice 2), with a = 4.353 Å, b = 4.353 Å, c = 8.445 Å, α = 90.00°, β = 90.00° and γ = 90.00°. Symmetry generates all atoms from Al at (0.250, 0.750, 0.000), Sn at (0.250, 0.250, 0.222) and Pb at (0.250, 0.250, 0.616).

For the energy of formation from the pure elements, the calculation gives 0.1351 eV per atom. The calculation puts the density at 7.3 g cm⁻³. For the total energy, the calculation gives -3.683 eV/atom. The calculation puts the relative energy among the computed polymorphs at 0.37 kcal/mol of atoms.


Record 4
Sr2VOsC after structural relaxation. Source: Alexandria, functional PBE-GGA.

It has space group P4/mmm (No. 123), with a = 5.996 Å, b = 5.996 Å, c = 3.872 Å, α = 90.00°, β = 90.00° and γ = 90.00°. Symmetry generates all atoms from Sr at (0.000, 0.500, 0.000), V at (0.000, 0.000, 0.500), Os at (0.500, 0.500, 0.000) and C at (0.500, 0.500, 0.500).

For the energy of formation from the pure elements, the calculation gives 1.2787 eV per atom. The calculation puts the density at 5.1 g cm⁻³. For the total energy, the calculation gives -5.309 eV/atom.


Record 5
LiFe2P after structural relaxation. Source: Alexandria, functional PBE-GGA.

It has space group Pm (No. 6), with a = 2.689 Å, b = 3.877 Å, c = 4.650 Å, α = 90.00°, β = 106.69° and γ = 90.00°. Symmetry generates all atoms from Li at (0.000, 0.000, 0.000), Fe at (0.342, 0.500, 0.684), Fe at (0.726, 0.000, 0.474) and P at (0.612, 0.500, 0.223).

For the energy of formation from the pure elements, the calculation gives -0.1040 eV per atom. The calculation puts the density at 5.3 g cm⁻³. For the total energy, the calculation gives -6.166 eV/atom.


Record 6
Sc4SiAu after structural relaxation. Source: Alexandria, functional PBE-GGA.

It has space group F-43m (No. 216), with a = 7.947 Å, b = 7.947 Å, c = 7.947 Å, α = 90.00°, β = 90.00° and γ = 90.00°. Symmetry generates all atoms from Sc at (0.124, 0.124, 0.124), Si at (0.250, 0.250, 0.750) and Au at (0.000, 0.000, 0.500).

The calculation puts the density at 5.4 g cm⁻³. For the total energy, the calculation gives -5.447 eV/atom.


Which of these has the highest total energy?
AlSnPb


total energy of number 1 (Ni5SbSe2)?
-5.257 eV/atom


total energy of number 3 (AlSnPb)?
-3.683 eV/atom


Among the records above, which one has the lowest total energy?
LiFe2P